{"formula": "CsSrZn3", "functional": "GGA-PBE", "state": "optimized geometry", "polymorph_energy_mev_per_atom": 0, "magmom_total_mub_per_fu": 0.00, "formation_energy_ev_per_fu": 1.9, "dft_energy_ev_per_fu": -4.4, "lattice_angstrom": [[6.243, 0.000, 0.000], [0.000, 6.243, 0.000], [0.000, 0.000, 6.243]], "species": ["Cs", "Sr", "Zn", "Zn", "Zn"], "frac_coords": [[0.000, 0.000, 0.000], [0.500, 0.500, 0.500], [0.000, 0.500, 0.500], [0.500, 0.000, 0.500], [0.500, 0.500, 0.000]]}